The following is a DFT calculation (GGA-PBE) of CeBi2O5 after structural relaxation.

extended XYZ file:
```
32
Lattice="10.208 0.000 0.000 0.000 7.119 0.000 0.000 0.000 6.540" Properties=species:S:1:pos:R:3 pbc="T T T"
Ce 0.011 1.780 0.393
Ce 5.094 5.339 3.663
Ce 5.115 1.780 2.877
Ce 10.198 5.339 6.147
Bi 1.751 3.583 3.121
Bi 1.751 7.096 3.121
Bi 3.353 0.023 6.392
Bi 3.353 3.536 6.392
Bi 6.855 3.583 0.149
Bi 6.855 7.096 0.149
Bi 8.457 0.023 3.419
Bi 8.457 3.536 3.419
O 0.001 1.780 2.863
O 10.207 5.339 3.677
O 0.935 3.768 1.034
O 0.935 6.911 1.034
O 2.012 1.780 5.686
O 2.202 5.339 5.453
O 2.902 1.780 2.183
O 3.092 5.339 2.416
O 4.169 0.208 4.305
O 4.169 3.351 4.305
O 5.105 1.780 0.407
O 5.103 5.339 6.133
O 6.040 3.768 2.236
O 6.040 6.911 2.236
O 7.116 1.780 4.125
O 7.306 5.339 4.358
O 8.006 1.780 1.088
O 8.196 5.339 0.855
O 9.273 0.208 5.506
O 9.273 3.351 5.506
```

energy relative to the elements, uncorrected = -1.9925 eV/atom
total DFT energy (no corrections) = -6.8034 eV/atom